LiV4Ni2O12: relaxed, PBE+U. Values from VASP.

Output
Crystal system   triclinic
Offset from the most stable computed form   0.000 eV per atom
Raw total energy   -129.22 eV for the cell shown

Structure (Quantum ESPRESSO input):
```
&SYSTEM
  ibrav = 0, nat = 19, ntyp = 4
/
ATOMIC_SPECIES
Li 6.94 Li.upf
V 50.94 V.upf
Ni 58.69 Ni.upf
O 16.00 O.upf
CELL_PARAMETERS angstrom
5.742 0.000 0.000
2.018 6.429 0.000
1.665 0.523 6.712
ATOMIC_POSITIONS crystal
Li 0.000 0.000 0.000
V 0.032 0.545 0.822
V 0.073 0.086 0.431
V 0.571 0.329 0.011
V 0.593 0.889 0.604
Ni 0.096 0.624 0.297
Ni 0.590 0.788 0.135
O 0.064 0.327 0.338
O 0.113 0.641 0.581
O 0.182 0.924 0.236
O 0.269 0.015 0.617
O 0.356 0.369 0.862
O 0.472 0.521 0.181
O 0.618 0.080 0.126
O 0.635 0.751 0.826
O 0.693 0.734 0.412
O 0.761 0.084 0.553
O 0.884 0.317 0.881
O 0.976 0.699 0.036
```